Entry 1:
# RbFeP2S8 | the Alexandria database | GGA-PBE | relaxed
data_RbFeP2S8
_chemical_formula_sum 'Rb1 Fe1 P2 S8'
_cell_length_a 5.786
_cell_length_b 5.786
_cell_length_c 9.959
_cell_angle_alpha 90.00
_cell_angle_beta 90.00
_cell_angle_gamma 120.00
_symmetry_space_group_name_H-M 'P 1'
_symmetry_Int_Tables_number 1
loop_
_symmetry_equiv_pos_as_xyz
'x,y,z'
loop_
_atom_site_label
_atom_site_type_symbol
_atom_site_fract_x
_atom_site_fract_y
_atom_site_fract_z
S1 S 0.012 0.687 0.364
S2 S 0.988 0.313 0.636
P1 P 0.667 0.333 0.306
S3 S 0.325 0.012 0.636
P2 P 0.333 0.667 0.694
S4 S 0.333 0.667 0.894
Rb1 Rb 0.000 0.000 0.000
S5 S 0.687 0.675 0.636
S6 S 0.313 0.325 0.364
Fe1 Fe 0.000 0.000 0.500
S7 S 0.675 0.988 0.364
S8 S 0.667 0.333 0.106
# * final energy: -56.6 eV for the cell shown
# * SG: P-3 (147)
# * magnetic moment: 3.0 μB per cell
# * raw formation energy: -3.352 eV/f.u.



Entry 2:
# RbSr2FeP | the Alexandria database | GGA-PBE | relaxed
data_RbSr2FeP
_chemical_formula_sum 'Rb1 Sr2 Fe1 P1'
_cell_length_a 5.852
_cell_length_b 5.852
_cell_length_c 6.488
_cell_angle_alpha 90.00
_cell_angle_beta 90.00
_cell_angle_gamma 90.00
_symmetry_space_group_name_H-M 'P 1'
_symmetry_Int_Tables_number 1
loop_
_symmetry_equiv_pos_as_xyz
'x,y,z'
loop_
_atom_site_label
_atom_site_type_symbol
_atom_site_fract_x
_atom_site_fract_y
_atom_site_fract_z
Sr1 Sr 0.500 0.000 0.000
P1 P 0.000 0.000 0.000
Rb1 Rb 0.000 0.000 0.500
Sr2 Sr 0.000 0.500 0.000
Fe1 Fe 0.500 0.500 0.500
# * final energy: -16.8 eV for the cell shown
# * energy relative to the elements: 1.42 eV per formula unit
# * SG: P4/mmm (123)
# * magnetic moment: 3.1 μB per cell



Entry 3:
# Rb2TlFeP | the Alexandria database | GGA-PBE | relaxed
data_Rb2TlFeP
_chemical_formula_sum 'Rb2 Tl1 Fe1 P1'
_cell_length_a 6.673
_cell_length_b 4.264
_cell_length_c 6.673
_cell_angle_alpha 90.00
_cell_angle_beta 90.00
_cell_angle_gamma 90.00
_symmetry_space_group_name_H-M 'P 1'
_symmetry_Int_Tables_number 1
loop_
_symmetry_equiv_pos_as_xyz
'x,y,z'
loop_
_atom_site_label
_atom_site_type_symbol
_atom_site_fract_x
_atom_site_fract_y
_atom_site_fract_z
Rb1 Rb 0.500 0.000 0.000
Rb2 Rb 0.000 0.000 0.500
P1 P 0.000 0.000 0.000
Tl1 Tl 0.500 0.500 0.500
Fe1 Fe 0.000 0.500 0.000
# * final energy: -17.1 eV for the cell shown
# * energy relative to the elements: 1.06 eV per formula unit
# * SG: P4/mmm (123)
# * magnetic moment: 1.5 μB per cell



Entry 4:
# Fe2ReP | the Alexandria database | GGA-PBE | relaxed
data_Fe2ReP
_chemical_formula_sum 'Fe2 Re1 P1'
_cell_length_a 4.757
_cell_length_b 4.757
_cell_length_c 4.094
_cell_angle_alpha 64.54
_cell_angle_beta 64.54
_cell_angle_gamma 34.24
_symmetry_space_group_name_H-M 'P 1'
_symmetry_Int_Tables_number 1
loop_
_symmetry_equiv_pos_as_xyz
'x,y,z'
loop_
_atom_site_label
_atom_site_type_symbol
_atom_site_fract_x
_atom_site_fract_y
_atom_site_fract_z
Fe1 Fe 0.470 0.470 0.530
Fe2 Fe 0.030 0.030 0.970
P1 P 0.750 0.750 0.750
Re1 Re 0.250 0.250 0.250
# * final energy: -35.2 eV for the cell shown
# * energy relative to the elements: -0.45 eV per formula unit
# * SG: Immm (71)
# * magnetic moment: 1.2 μB per cell



Entry 5:
# FeRe2P | the Alexandria database | GGA-PBE | relaxed
data_FeRe2P
_chemical_formula_sum 'Fe1 Re2 P1'
_cell_length_a 8.142
_cell_length_b 8.142
_cell_length_c 8.142
_cell_angle_alpha 19.71
_cell_angle_beta 19.71
_cell_angle_gamma 19.71
_symmetry_space_group_name_H-M 'P 1'
_symmetry_Int_Tables_number 1
loop_
_symmetry_equiv_pos_as_xyz
'x,y,z'
loop_
_atom_site_label
_atom_site_type_symbol
_atom_site_fract_x
_atom_site_fract_y
_atom_site_fract_z
Fe1 Fe 0.250 0.250 0.250
Re1 Re 0.497 0.497 0.497
Re2 Re 0.003 0.003 0.003
P1 P 0.750 0.750 0.750
# * final energy: -38.3 eV for the cell shown
# * energy relative to the elements: 0.48 eV per formula unit
# * SG: R-3m (166)
# * magnetic moment: 1.4 μB per cell



Entry 6:
# FeReP2 | the Alexandria database | GGA-PBE | relaxed
data_FeReP2
_chemical_formula_sum 'Fe1 Re1 P2'
_cell_length_a 3.079
_cell_length_b 3.079
_cell_length_c 5.259
_cell_angle_alpha 90.00
_cell_angle_beta 90.00
_cell_angle_gamma 90.00
_symmetry_space_group_name_H-M 'P 1'
_symmetry_Int_Tables_number 1
loop_
_symmetry_equiv_pos_as_xyz
'x,y,z'
loop_
_atom_site_label
_atom_site_type_symbol
_atom_site_fract_x
_atom_site_fract_y
_atom_site_fract_z
P1 P 0.000 0.000 0.960
Re1 Re 0.000 0.000 0.454
Fe1 Fe 0.500 0.500 0.827
P2 P 0.500 0.500 0.258
# * final energy: -32.6 eV for the cell shown
# * energy relative to the elements: -0.86 eV per formula unit
# * excess energy over the best structure of this formula in the dataset: 0.0 meV/atom
# * SG: P4mm (99)
# * magnetic moment: 1.0 μB per cell



Entry 7:
# FeReP2 | the Alexandria database | GGA-PBE | relaxed
data_FeReP2
_chemical_formula_sum 'Fe1 Re1 P2'
_cell_length_a 4.939
_cell_length_b 4.939
_cell_length_c 4.939
_cell_angle_alpha 139.47
_cell_angle_beta 139.47
_cell_angle_gamma 58.66
_symmetry_space_group_name_H-M 'P 1'
_symmetry_Int_Tables_number 1
loop_
_symmetry_equiv_pos_as_xyz
'x,y,z'
loop_
_atom_site_label
_atom_site_type_symbol
_atom_site_fract_x
_atom_site_fract_y
_atom_site_fract_z
Fe1 Fe 0.750 0.250 0.500
Re1 Re 0.500 0.500 0.000
P1 P 0.250 0.750 0.500
P2 P 0.000 0.000 0.000
# * final energy: -30.6 eV for the cell shown
# * energy relative to the elements: 1.09 eV per formula unit
# * excess energy over the best structure of this formula in the dataset: 486.1 meV/atom
# * SG: I-4m2 (119)
# * magnetic moment: 0.1 μB per cell



Entry 8:
# FeRe2P | the Alexandria database | GGA-PBE | relaxed
data_FeRe2P
_chemical_formula_sum 'Fe1 Re2 P1'
_cell_length_a 2.893
_cell_length_b 2.893
_cell_length_c 6.187
_cell_angle_alpha 90.00
_cell_angle_beta 90.00
_cell_angle_gamma 90.00
_symmetry_space_group_name_H-M 'P 1'
_symmetry_Int_Tables_number 1
loop_
_symmetry_equiv_pos_as_xyz
'x,y,z'
loop_
_atom_site_label
_atom_site_type_symbol
_atom_site_fract_x
_atom_site_fract_y
_atom_site_fract_z
Fe1 Fe 0.500 0.500 0.250
P1 P 0.500 0.500 0.750
Re1 Re 0.000 0.000 0.987
Re2 Re 0.000 0.000 0.513
# * final energy: -38.8 eV for the cell shown
# * energy relative to the elements: 0.00 eV per formula unit
# * SG: P4/mmm (123)
# * magnetic moment: 1.1 μB per cell



Entry 9:
# Fe2ReP | the Alexandria database | GGA-PBE | relaxed
data_Fe2ReP
_chemical_formula_sum 'Fe2 Re1 P1'
_cell_length_a 4.206
_cell_length_b 4.206
_cell_length_c 4.620
_cell_angle_alpha 86.34
_cell_angle_beta 86.34
_cell_angle_gamma 37.23
_symmetry_space_group_name_H-M 'P 1'
_symmetry_Int_Tables_number 1
loop_
_symmetry_equiv_pos_as_xyz
'x,y,z'
loop_
_atom_site_label
_atom_site_type_symbol
_atom_site_fract_x
_atom_site_fract_y
_atom_site_fract_z
P1 P 0.473 0.473 0.614
Re1 Re 0.270 0.270 0.208
Fe1 Fe 0.745 0.745 0.685
Fe2 Fe 0.012 0.012 0.993
# * final energy: -34.7 eV for the cell shown
# * energy relative to the elements: 0.08 eV per formula unit
# * SG: Cm (8)
# * magnetic moment: 0.0 μB per cell



Entry 10:
# FeRe2P | the Alexandria database | GGA-PBE | relaxed
data_FeRe2P
_chemical_formula_sum 'Fe1 Re2 P1'
_cell_length_a 8.149
_cell_length_b 8.149
_cell_length_c 8.149
_cell_angle_alpha 19.49
_cell_angle_beta 19.49
_cell_angle_gamma 19.49
_symmetry_space_group_name_H-M 'P 1'
_symmetry_Int_Tables_number 1
loop_
_symmetry_equiv_pos_as_xyz
'x,y,z'
loop_
_atom_site_label
_atom_site_type_symbol
_atom_site_fract_x
_atom_site_fract_y
_atom_site_fract_z
Re1 Re 0.246 0.246 0.246
Re2 Re 0.006 0.006 0.006
P1 P 0.756 0.756 0.756
Fe1 Fe 0.492 0.492 0.492
# * final energy: -38.7 eV for the cell shown
# * energy relative to the elements: 0.10 eV per formula unit
# * SG: R3m (160)
# * magnetic moment: 0.1 μB per cell



Entry 11:
# FeReP6 | the Alexandria database | GGA-PBE | relaxed
data_FeReP6
_chemical_formula_sum 'Fe2 Re2 P12'
_cell_length_a 6.845
_cell_length_b 6.845
_cell_length_c 6.970
_cell_angle_alpha 108.76
_cell_angle_beta 108.78
_cell_angle_gamma 110.16
_symmetry_space_group_name_H-M 'P 1'
_symmetry_Int_Tables_number 1
loop_
_symmetry_equiv_pos_as_xyz
'x,y,z'
loop_
_atom_site_label
_atom_site_type_symbol
_atom_site_fract_x
_atom_site_fract_y
_atom_site_fract_z
Fe1 Fe 0.500 0.500 0.500
P1 P 0.147 0.344 0.491
P2 P 0.364 0.494 0.155
P3 P 0.661 0.791 0.155
P4 P 0.499 0.157 0.369
P5 P 0.866 0.367 0.234
P6 P 0.636 0.506 0.845
P7 P 0.134 0.633 0.766
P8 P 0.501 0.843 0.631
P9 P 0.853 0.656 0.509
Re1 Re 0.500 0.000 0.000
P10 P 0.212 0.869 0.369
P11 P 0.788 0.131 0.631
Re2 Re 0.000 0.500 0.000
Fe2 Fe 0.000 0.000 0.500
P12 P 0.339 0.209 0.845
# * final energy: -109.4 eV for the cell shown
# * energy relative to the elements: -1.34 eV per formula unit
# * SG: C2/m (12)
# * magnetic moment: 2.0 μB per cell



Entry 12:
# FeReP2 | the Alexandria database | GGA-PBE | relaxed
data_FeReP2
_chemical_formula_sum 'Fe1 Re1 P2'
_cell_length_a 3.908
_cell_length_b 3.190
_cell_length_c 4.492
_cell_angle_alpha 95.99
_cell_angle_beta 90.00
_cell_angle_gamma 90.00
_symmetry_space_group_name_H-M 'P 1'
_symmetry_Int_Tables_number 1
loop_
_symmetry_equiv_pos_as_xyz
'x,y,z'
loop_
_atom_site_label
_atom_site_type_symbol
_atom_site_fract_x
_atom_site_fract_y
_atom_site_fract_z
Fe1 Fe 0.500 0.750 0.750
P1 P 0.000 0.427 0.554
P2 P 0.000 0.073 0.946
Re1 Re 0.500 0.250 0.250
# * final energy: -30.8 eV for the cell shown
# * energy relative to the elements: 0.88 eV per formula unit
# * excess energy over the best structure of this formula in the dataset: 435.2 meV/atom
# * SG: P2/m (10)
# * magnetic moment: 2.3 μB per cell